Entry 1:
VASP calculation (GGA-PBE) on HgAu after structural relaxation.

Values from the calculation:
Fermi-level density of states, states/eV/f.u.: 0.33
Crystal system: hexagonal
Energy relative to the elements, meV per atom: 85

Unit cell a=8.4279 b=8.4279 c=4.7522 alpha=90.00 beta=90.00 gamma=120.00
Element x y z (fractional)
Hg1 0.8294 0.1852 0.2500
Hg2 0.6442 0.8294 0.7500
Hg3 0.8148 0.6442 0.2500
Hg4 0.1706 0.8148 0.7500
Hg5 0.3558 0.1706 0.2500
Hg6 0.1852 0.3558 0.7500
Au1 0.4628 0.8871 0.2500
Au2 0.5757 0.4628 0.7500
Au3 0.1129 0.5757 0.2500
Au4 0.5372 0.1129 0.7500
Au5 0.4243 0.5372 0.2500
Au6 0.8871 0.4243 0.7500



Entry 2:
VASP calculation (GGA-PBE) on MgGaRu after structural relaxation.

Values from the calculation:
Fermi-level density of states, states/eV/f.u.: 2.11
Crystal system: orthorhombic
Energy relative to the elements, meV per atom: -246

Unit cell a=2.9687 b=4.5982 c=4.0733 alpha=90.00 beta=90.00 gamma=90.00
Element x y z (fractional)
Mg1 0.5000 0.5000 0.5000
Ga1 0.5000 0.0000 0.0000
Ru1 0.0000 0.0000 0.5000



Entry 3:
VASP calculation (GGA-PBE) on TbHo2Pa after structural relaxation.

Values from the calculation:
Fermi-level density of states, states/eV/f.u.: 6.72
Offset from the most stable computed form, eV/atom: 0.0000
Crystal system: tetragonal
Energy relative to the elements, meV per atom: 126

Unit cell a=3.4022 b=3.4022 c=10.1604 alpha=90.00 beta=90.00 gamma=90.00
Element x y z (fractional)
Pa1 0.5000 0.5000 0.0000
Tb1 0.5000 0.5000 0.5000
Ho1 0.0000 0.0000 0.7663
Ho2 0.0000 0.0000 0.2337